1.
The following is a PBE calculation of crystalline Cd2FeHg at its relaxed geometry, from Alexandria via LeMat-Bulk.

abc: 10.205 10.205 10.205
angles: 17.03 17.03 17.03
Each line ends with the local moment (μB).
Element x y z (fractional)
Cd 0.510 0.510 0.510  -0.02
Cd 0.990 0.990 0.990  -0.02
Hg 0.750 0.750 0.750  0.01
Fe 0.250 0.250 0.250  2.78

Computed properties:
Size of the total moment in μB/cell: 2.7
Total energy in eV per atom: -2.369

2.
The following is a PBE calculation of crystalline NaLa2CdIr at its relaxed geometry, from Alexandria via LeMat-Bulk.

abc: 5.488 5.589 5.488
angles: 90.00 90.00 90.00
Element x y z (fractional)
Ir 0.000 0.000 0.000
Cd 0.500 0.500 0.500
La 0.500 0.000 0.000
La 0.000 0.000 0.500
Na 0.000 0.500 0.000

Computed properties:
Size of the total moment in μB/cell: 0.0
Total energy in eV per atom: -4.402

3.
The following is a PBE calculation of crystalline LiYCl3 at its relaxed geometry, from Alexandria via LeMat-Bulk.

abc: 5.329 5.329 5.329
angles: 90.00 90.00 90.00
Element x y z (fractional)
Cl 0.000 0.000 0.500
Cl 0.500 0.000 0.000
Cl 0.000 0.500 0.000
Y 0.000 0.000 0.000
Li 0.500 0.500 0.500

Computed properties:
Size of the total moment in μB/cell: 0.0
Total energy in eV per atom: -4.337
Uncorrected formation energy in eV per formula unit: -7.77

4.
The following is a PBE calculation of crystalline Sm2DyZn2In2 at its relaxed geometry, from Alexandria via LeMat-Bulk.

abc: 4.719 4.719 9.646
angles: 75.84 75.84 60.00
Element x y z (fractional)
Zn 0.607 0.607 0.180
Zn 0.393 0.393 0.820
Sm 0.873 0.873 0.380
Sm 0.127 0.127 0.620
In 0.266 0.266 0.202
In 0.734 0.734 0.798
Dy 0.000 0.000 0.000

Computed properties:
Size of the total moment in μB/cell: 0.0
Total energy in eV per atom: -3.442

5.
The following is a PBE calculation of crystalline Cr2RhW at its relaxed geometry, from Alexandria via LeMat-Bulk.

abc: 8.474 8.474 8.474
angles: 18.80 18.80 18.80
Each line ends with the local moment (μB).
Element x y z (fractional)
Rh 0.505 0.505 0.505  0.02
Cr 0.257 0.257 0.257  0.37
Cr 0.990 0.990 0.990  -0.23
W 0.748 0.748 0.748  0.01

Computed properties:
Size of the total moment in μB/cell: 0.2
Total energy in eV per atom: -9.648

6.
The following is a PBE calculation of crystalline Mg9Si5 at its relaxed geometry, from Alexandria via LeMat-Bulk.

abc: 7.159 7.195 13.136
angles: 76.58 77.59 59.59
Element x y z (fractional)
Si 0.239 0.103 0.509
Si 0.684 0.582 0.013
Si 0.530 0.390 0.679
Si 0.606 0.492 0.341
Si 0.221 0.067 0.802
Si 0.273 0.170 0.315
Si 0.349 0.253 0.042
Si 0.978 0.880 0.185
Si 0.010 0.882 0.857
Si 0.902 0.767 0.516
Mg 0.957 0.276 0.180
Mg 0.573 0.875 0.182
Mg 0.011 0.654 0.045
Mg 0.190 0.839 0.348
Mg 0.563 0.689 0.509
Mg 0.577 0.062 0.859
Mg 0.665 0.074 0.351
Mg 0.769 0.168 0.014
Mg 0.954 0.561 0.342
Mg 0.318 0.433 0.510
Mg 0.537 0.000 0.644
Mg 0.143 0.794 0.659
Mg 0.934 0.371 0.663
Mg 0.272 0.932 0.016
Mg 0.451 0.569 0.865
Mg 0.828 0.193 0.507
Mg 0.066 0.448 0.870
Mg 0.400 0.476 0.177

Computed properties:
Size of the total moment in μB/cell: 0.0
Total energy in eV per atom: -3.029
Uncorrected formation energy in eV per formula unit: -0.94

7.
The following is a PBE calculation of crystalline BaTc2O6F at its relaxed geometry, from Alexandria via LeMat-Bulk.

abc: 7.531 7.531 5.850
angles: 91.04 91.04 118.10
Element x y z (fractional)
F 0.527 0.473 0.250
F 0.473 0.527 0.750
Ba 0.848 0.152 0.750
Ba 0.152 0.848 0.250
O 0.783 0.790 0.014
O 0.366 0.981 0.698
O 0.790 0.783 0.514
O 0.654 0.369 0.554
O 0.631 0.346 0.946
O 0.217 0.210 0.986
O 0.369 0.654 0.054
O 0.634 0.019 0.302
O 0.019 0.634 0.802
O 0.981 0.366 0.198
O 0.210 0.217 0.486
O 0.346 0.631 0.446
Tc 0.774 0.598 0.761
Tc 0.598 0.774 0.261
Tc 0.402 0.226 0.739
Tc 0.226 0.402 0.239

Computed properties:
Size of the total moment in μB/cell: 0.0
Total energy in eV per atom: -7.113
Uncorrected formation energy in eV per formula unit: -16.85

8.
The following is a PBE calculation of crystalline Zr2CuW at its relaxed geometry, from Alexandria via LeMat-Bulk.

abc: 4.016 4.016 10.071
angles: 78.50 78.50 90.00
Element x y z (fractional)
W 0.000 0.000 0.000
W 0.750 0.250 0.500
Zr 0.629 0.125 0.250
Zr 0.375 0.371 0.750
Zr 0.875 0.879 0.750
Zr 0.121 0.625 0.250
Cu 0.250 0.750 0.500
Cu 0.500 0.500 0.000

Computed properties:
Size of the total moment in μB/cell: 0.0
Total energy in eV per atom: -7.733

What did the third record say?
The following is a PBE calculation of crystalline LiYCl3 at its relaxed geometry, from Alexandria via LeMat-Bulk.

abc: 5.329 5.329 5.329
angles: 90.00 90.00 90.00
Element x y z (fractional)
Cl 0.000 0.000 0.500
Cl 0.500 0.000 0.000
Cl 0.000 0.500 0.000
Y 0.000 0.000 0.000
Li 0.500 0.500 0.500

Computed properties:
Size of the total moment in μB/cell: 0.0
Total energy in eV per atom: -4.337
Uncorrected formation energy in eV per formula unit: -7.77

- Which value of size of the total moment does entry 6 give?
  0.0 μB/cell